# KZrI2

Crystalline KZrI2 at its relaxed geometry (PBE, Alexandria via LeMat-Bulk).

Properties
Energy relative to the elements, uncorrected = -0.8 eV per formula unit
Space-group type = Fm-3m (225)
Total magnetic moment = 4.008 μB per cell
VASP energy = -3.39 eV/atom
Offset from the most stable computed form = 0.088 eV/atom

a b c (Å): 7.7375 7.7375 7.7375
angles (deg): 90.00 90.00 90.00
Closest atoms and distances in Å follow each position.
Fractional positions:
K 0.0000 0.0000 0.0000  8 I 3.35
K 0.0000 0.5000 0.5000  8 I 3.35
K 0.5000 0.0000 0.5000  8 I 3.35
K 0.5000 0.5000 0.0000  8 I 3.35
Zr 0.0000 0.0000 0.5000  8 I 3.35
Zr 0.0000 0.5000 0.0000  8 I 3.35
Zr 0.5000 0.0000 0.0000  8 I 3.35
Zr 0.5000 0.5000 0.5000  8 I 3.35
I 0.2500 0.2500 0.2500  4 K 3.35, 4 Zr 3.35
I 0.2500 0.2500 0.7500  4 Zr 3.35, 4 K 3.35
I 0.2500 0.7500 0.2500  4 Zr 3.35, 4 K 3.35
I 0.2500 0.7500 0.7500  4 K 3.35, 4 Zr 3.35
I 0.7500 0.2500 0.2500  4 Zr 3.35, 4 K 3.35
I 0.7500 0.2500 0.7500  4 K 3.35, 4 Zr 3.35
I 0.7500 0.7500 0.2500  4 K 3.35, 4 Zr 3.35
I 0.7500 0.7500 0.7500  4 Zr 3.35, 4 K 3.35

***

# RbCuAgTe2

Crystalline RbCuAgTe2 at its relaxed geometry (PBE, Alexandria via LeMat-Bulk).

Properties
Energy relative to the elements, uncorrected = -1.9 eV per formula unit
Space-group type = I-4m2 (119)
Total magnetic moment = 0.000 μB per cell
VASP energy = -3.21 eV/atom

a b c (Å): 4.3887 4.3887 15.4893
angles (deg): 90.00 90.00 90.00
Closest atoms and distances in Å follow each position.
Fractional positions:
Rb 0.0000 0.0000 0.0000  8 Te 3.80
Rb 0.5000 0.5000 0.5000  8 Te 3.80
Cu 0.0000 0.5000 0.7500  4 Te 2.76
Cu 0.5000 0.0000 0.2500  4 Te 2.76
Ag 0.0000 0.5000 0.2500  4 Te 2.76
Ag 0.5000 0.0000 0.7500  4 Te 2.76
Te 0.0000 0.0000 0.3582  2 Cu 2.76, 2 Ag 2.76
Te 0.0000 0.0000 0.6418  2 Cu 2.76, 2 Ag 2.76
Te 0.5000 0.5000 0.1418  2 Cu 2.76, 2 Ag 2.76
Te 0.5000 0.5000 0.8582  2 Cu 2.76, 2 Ag 2.76

***

# AlReS2Cl

Crystalline AlReS2Cl at its relaxed geometry (PBE, Alexandria via LeMat-Bulk).

Properties
Energy relative to the elements, uncorrected = 4.7 eV per formula unit
Space-group type = P4/mmm (123)
Total magnetic moment = 4.767 μB per cell
VASP energy = -4.31 eV/atom
Offset from the most stable computed form = 0.798 eV/atom

a b c (Å): 4.4222 4.4222 5.6994
angles (deg): 90.00 90.00 90.00
Closest atoms and distances in Å follow each position.
Fractional positions:
Al 0.0000 0.0000 0.0000  4 S 2.21
Re 0.0000 0.0000 0.5000  2 Al 2.85, 4 Cl 3.13
S 0.0000 0.5000 0.0000  2 Al 2.21
S 0.5000 0.0000 0.0000  2 Al 2.21
Cl 0.5000 0.5000 0.5000  4 Re 3.13

***

# RbLiZnBi2

Crystalline RbLiZnBi2 at its relaxed geometry (PBE, Alexandria via LeMat-Bulk).

Properties
Space-group type = I-4m2 (119)
Total magnetic moment = 0.000 μB per cell
E_form = -0.27 eV per atom
VASP energy = -2.66 eV/atom

a b c (Å): 5.0852 5.0852 11.9023
angles (deg): 90.00 90.00 90.00
Closest atoms and distances in Å follow each position.
Fractional positions:
Rb 0.0000 0.0000 0.0000  4 Li 3.91, 4 Zn 3.91, 8 Bi 3.92
Rb 0.5000 0.5000 0.5000  4 Li 3.91, 4 Zn 3.91, 8 Bi 3.92
Li 0.0000 0.5000 0.2500  4 Bi 2.91
Li 0.5000 0.0000 0.7500  4 Bi 2.91
Zn 0.0000 0.5000 0.7500  4 Bi 2.91
Zn 0.5000 0.0000 0.2500  4 Bi 2.91
Bi 0.0000 0.0000 0.3689  2 Li 2.91, 2 Zn 2.91, 1 Bi 3.12
Bi 0.0000 0.0000 0.6311  2 Li 2.91, 2 Zn 2.91, 1 Bi 3.12
Bi 0.5000 0.5000 0.1311  2 Li 2.91, 2 Zn 2.91, 1 Bi 3.12
Bi 0.5000 0.5000 0.8689  2 Li 2.91, 2 Zn 2.91, 1 Bi 3.12